No. 1
The following is a DFT calculation (GGA-PBE) of a geometry-optimized YSiSnI2 structure.

**ΔE_f (raw)**: 15.1 kcal/mol of atoms
**E**: -0.11553 hartree per atom
**Density of states at the Fermi level**: 0.74 states/eV per atom

abc: 5.832 5.832 6.174
angles: 90.00 90.00 90.00
Atoms (fractional coordinates):
1 Y 0.000 0.000 0.000
2 Si 0.500 0.500 0.000
3 Sn 0.000 0.000 0.500
4 I 0.000 0.500 0.500
5 I 0.500 0.000 0.500

No. 2
The following is a DFT calculation (GGA-PBE) of a geometry-optimized Y2SiSnI structure.

**ΔE_f (raw)**: 0.9 kcal/mol of atoms
**E**: -0.17430 hartree per atom
**Density of states at the Fermi level**: 0.76 states/eV per atom

abc: 5.541 5.541 5.237
angles: 90.00 90.00 90.00
Atoms (fractional coordinates):
1 Y 0.000 0.500 0.000
2 Y 0.500 0.000 0.000
3 Si 0.000 0.000 0.000
4 Sn 0.500 0.500 0.500
5 I 0.000 0.000 0.500

No. 3
The following is a DFT calculation (GGA-PBE) of a geometry-optimized Sr4SiI4 structure.

**ΔE_f (raw)**: -30.1 kcal/mol of atoms
**E**: -0.12293 hartree per atom

abc: 8.378 8.378 11.598
angles: 118.81 118.81 32.79
Atoms (fractional coordinates):
1 Sr 0.079 0.079 0.409
2 Sr 0.319 0.319 0.228
3 Sr 0.681 0.681 0.772
4 Sr 0.921 0.921 0.591
5 Si 0.500 0.500 0.500
6 I 0.113 0.113 0.914
7 I 0.304 0.304 0.699
8 I 0.696 0.696 0.301
9 I 0.887 0.887 0.086

No. 4
The following is a DFT calculation (GGA-PBE) of a geometry-optimized SrSiI structure.

**ΔE_f (raw)**: -19.4 kcal/mol of atoms
**E**: -0.13701 hartree per atom
**Density of states at the Fermi level**: 0.37 states/eV per atom

abc: 4.325 4.020 12.041
angles: 90.00 96.60 90.00
Atoms (fractional coordinates):
1 Sr 0.138 0.250 0.199
2 Sr 0.862 0.750 0.801
3 Si 0.390 0.750 0.029
4 Si 0.610 0.250 0.971
5 I 0.307 0.250 0.657
6 I 0.693 0.750 0.343

No. 5
The following is a DFT calculation (GGA-PBE) of a geometry-optimized Sr2SiI structure.

**ΔE_f (raw)**: -11.8 kcal/mol of atoms
**E**: -0.11372 hartree per atom
**Density of states at the Fermi level**: 0.38 states/eV per atom

abc: 8.446 8.446 9.185
angles: 90.00 90.00 90.00
Atoms (fractional coordinates):
1 Sr 0.219 0.750 0.125
2 Sr 0.250 0.219 0.875
3 Sr 0.250 0.281 0.375
4 Sr 0.281 0.750 0.625
5 Sr 0.719 0.250 0.625
6 Sr 0.750 0.719 0.375
7 Sr 0.750 0.781 0.875
8 Sr 0.781 0.250 0.125
9 Si 0.000 0.000 0.000
10 Si 0.000 0.500 0.250
11 Si 0.500 0.000 0.750
12 Si 0.500 0.500 0.500
13 I 0.000 0.000 0.500
14 I 0.000 0.500 0.750
15 I 0.500 0.000 0.250
16 I 0.500 0.500 0.000

No. 6
The following is a DFT calculation (GGA-PBE) of a geometry-optimized Sr4SiI5 structure.

**ΔE_f (raw)**: -30.7 kcal/mol of atoms
**E**: -0.12202 hartree per atom
**Density of states at the Fermi level**: 0.57 states/eV per atom

abc: 10.607 10.607 9.722
angles: 104.24 104.24 24.64
Atoms (fractional coordinates):
1 Sr 0.001 0.001 0.237
2 Sr 0.342 0.342 0.907
3 Sr 0.658 0.658 0.093
4 Sr 0.999 0.999 0.763
5 Si 0.500 0.500 0.000
6 I 0.167 0.167 0.339
7 I 0.170 0.170 0.846
8 I 0.500 0.500 0.500
9 I 0.830 0.830 0.154
10 I 0.833 0.833 0.661

- Which of these has the highest ΔE_f (raw)?
  YSiSnI2

- ΔE_f (raw) of number 6 (Sr4SiI5)?
  -30.7 kcal/mol of atoms

- What is the E in the second record?
  -0.17430 hartree per atom